Entry from OQMD via LeMat-Bulk: InB4Mo after structural relaxation (PBE).

Lattice parameters (Å, degrees): 2.9955 2.9955 8.9287 90.00 90.00 120.00
With the nearest neighbours (Å) after each atom.
Atoms (fractional coordinates):
B: 0.6667 0.3333 0.3143  3 B 1.73
In: 0.0000 0.0000 0.0000  6 In 3.00, 12 B 3.30
B: 0.3333 0.6667 0.6857  3 B 1.73
Mo: 0.0000 0.0000 0.5000  12 B 2.40
B: 0.6667 0.3333 0.6857  3 B 1.73
B: 0.3333 0.6667 0.3143  3 B 1.73

ΔE to the lowest computed polymorph (eV/atom): 0.000

Entry from OQMD via LeMat-Bulk: InB4Mo after structural relaxation (PBE).

Lattice parameters (Å, degrees): 4.7832 4.7832 4.7832 142.59 113.50 78.87
With the nearest neighbours (Å) after each atom.
Atoms (fractional coordinates):
In: 0.0000 0.0000 0.0000  12 B 2.55-2.56
Mo: 0.5000 0.5000 0.0000  12 B 2.54-2.57
B: 0.0890 0.7521 0.3369  3 B 1.71-1.78
B: 0.4152 0.7521 0.6631  3 B 1.71-1.78
B: 0.9110 0.2479 0.6631  3 B 1.71-1.78
B: 0.5848 0.2479 0.3369  3 B 1.71-1.78

ΔE to the lowest computed polymorph (eV/atom): 0.206

Entry from OQMD via LeMat-Bulk: InB3Mo4 after structural relaxation (PBE).

Lattice parameters (Å, degrees): 3.1452 3.1452 24.4889 90.00 90.00 120.00
With the nearest neighbours (Å) after each atom.
Atoms (fractional coordinates):
In: 0.6667 0.3333 0.7500  6 Mo 2.98, 6 In 3.15
B: 0.0000 0.0000 0.5000  6 Mo 2.25
Mo: 0.6667 0.3333 0.9459  6 B 2.23-2.25
Mo: 0.3333 0.6667 0.0541  6 B 2.23-2.25
Mo: 0.0000 0.0000 0.6538  3 B 2.15
Mo: 0.3333 0.6667 0.4459  6 B 2.23-2.25
B: 0.6667 0.3333 0.3929  6 Mo 2.15-2.23
B: 0.6667 0.3333 0.1071  6 Mo 2.15-2.23
B: 0.3333 0.6667 0.8929  6 Mo 2.15-2.23
Mo: 0.6667 0.3333 0.5541  6 B 2.23-2.25
B: 0.3333 0.6667 0.6071  6 Mo 2.15-2.23
B: 0.0000 0.0000 0.0000  6 Mo 2.25
Mo: 0.0000 0.0000 0.3462  3 B 2.15
Mo: 0.0000 0.0000 0.8462  3 B 2.15
In: 0.3333 0.6667 0.2500  6 Mo 2.98, 6 In 3.15
Mo: 0.0000 0.0000 0.1538  3 B 2.15

no.,electronic total energy (eV for the cell shown)
1,-40.06
2,-38.82
3,-135.93